CrSbO4 after structural relaxation, computed with PBE with a Hubbard U.

Unit cell a=4.6496 b=4.6496 c=3.1341 alpha=90.00 beta=90.00 gamma=91.72
With the nearest neighbours (Å) after each atom.
Positions (direct):
Cr  0.0000  0.0000  0.0000  6 O 2.01-2.04
Sb  0.5000  0.5000  0.5000  6 O 1.98-2.03
O  0.1948  0.1948  0.5000  1 Sb 1.98, 2 Cr 2.01
O  0.3059  0.6941  0.0000  2 Sb 2.03, 1 Cr 2.04
O  0.6941  0.3059  0.0000  2 Sb 2.03, 1 Cr 2.04
O  0.8052  0.8052  0.5000  1 Sb 1.98, 2 Cr 2.01

Energy   -6.904 eV/atom
Total magnetization   3.0 Bohr magnetons per cell